[1]
First-principles (PBE) data for crystalline K2TeF6 at its relaxed geometry, as listed in Alexandria.

Calculated values
space-group type = No. 136
energy above the lowest structure with this stoichiometry = 0 meV per atom
formation energy (no corrections) = -2505 meV/atom

POSCAR file:
```
K2TeF6
1.0
5.693 0.000 0.000
0.000 5.693 0.000
0.000 0.000 11.620
K F Te
4 12 2
Direct
0.000 0.000 0.664 K
0.500 0.500 0.164 K
0.500 0.500 0.836 K
0.000 0.000 0.336 K
0.175 0.825 0.866 F
0.239 0.761 0.500 F
0.261 0.261 0.000 F
0.175 0.825 0.134 F
0.675 0.675 0.366 F
0.675 0.675 0.634 F
0.325 0.325 0.366 F
0.325 0.325 0.634 F
0.761 0.239 0.500 F
0.739 0.739 0.000 F
0.825 0.175 0.866 F
0.825 0.175 0.134 F
0.500 0.500 0.500 Te
0.000 0.000 0.000 Te
```

---

[2]
First-principles (PBE) data for crystalline Ti3NiPd at its relaxed geometry, as listed in Alexandria.

Calculated values
space-group type = No. 74
energy above the lowest structure with this stoichiometry = 0 meV per atom
formation enthalpy at 0 K = -0.245 eV/atom

POSCAR file:
```
Ti3NiPd
1.0
-2.854 -2.684 -2.649
0.400 -3.898 3.518
-3.630 5.500 2.565
Ti Pd Ni
6 2 2
Direct
0.391 0.400 0.281 Ti
0.956 0.205 0.411 Ti
0.391 0.881 0.281 Ti
0.609 0.119 0.719 Ti
0.609 0.600 0.719 Ti
0.044 0.795 0.589 Ti
0.820 0.570 0.140 Pd
0.180 0.430 0.860 Pd
0.500 0.000 0.000 Ni
0.000 0.000 0.000 Ni
```

---

[3]
First-principles (PBE) data for crystalline AlH3Pd6 at its relaxed geometry, as listed in Alexandria.

Calculated values
space-group type = No. 11
energy above the lowest structure with this stoichiometry = 12 meV per atom

POSCAR file:
```
AlH3Pd6
1.0
-2.050 -1.025 1.762
-1.821 -7.179 -6.296
6.495 -1.419 6.729
H Pd Al
6 12 2
Direct
0.250 0.395 0.468 H
0.750 0.605 0.532 H
0.250 0.504 0.174 H
0.250 0.788 0.841 H
0.750 0.212 0.159 H
0.750 0.496 0.826 H
0.250 0.210 0.280 Pd
0.750 0.683 0.199 Pd
0.250 0.640 0.909 Pd
0.750 0.360 0.091 Pd
0.750 0.449 0.606 Pd
0.750 0.920 0.066 Pd
0.250 0.317 0.801 Pd
0.250 0.551 0.394 Pd
0.750 0.132 0.494 Pd
0.250 0.868 0.506 Pd
0.250 0.080 0.934 Pd
0.750 0.790 0.720 Pd
0.250 0.924 0.277 Al
0.750 0.076 0.723 Al
```

---

[4]
First-principles (PBE) data for crystalline NaSeS2 at its relaxed geometry, as listed in Alexandria.

Calculated values
space-group type = No. 166
formation energy (no corrections) = 70 meV/atom

POSCAR file:
```
NaSeS2
1.0
-8.126 3.403 0.456
-8.614 0.238 1.885
-7.398 2.879 3.847
S Na Se
2 1 1
Direct
0.910 0.910 0.910 S
0.090 0.090 0.090 S
0.500 0.500 0.500 Na
0.000 0.000 0.000 Se
```